[1]
18
Lattice="3.734 0.000 0.000 0.000 8.049 0.000 0.000 0.000 14.234" Properties=species:S:1:pos:R:3 comment="YInAg PBE relaxed" formation_energy_ev_per_atom=-0.401 energy_ev_per_atom=-4.419 pbc="T T T"
Y 0.000 1.865 13.448
Y 0.000 6.184 0.786
Y 0.000 1.865 7.903
Y 0.000 6.184 6.331
Y 0.000 1.433 3.559
Y 0.000 6.617 10.676
Ag 1.867 0.562 1.296
Ag 1.867 7.487 12.938
Ag 1.867 0.562 5.821
Ag 1.867 7.487 8.414
Ag 0.000 4.568 3.559
Ag 0.000 3.481 10.676
In 1.867 3.482 1.551
In 1.867 4.567 12.683
In 1.867 3.482 5.566
In 1.867 4.567 8.669
In 1.867 6.766 3.559
In 1.867 1.284 10.676

---

[2]
4
Lattice="5.557 0.000 0.000 2.779 4.813 0.000 2.779 1.604 4.538" Properties=species:S:1:pos:R:3 comment="PmErThPa PBE relaxed" formation_energy_ev_per_atom=0.358 energy_ev_per_atom=-6.200 pbc="T T T"
Pa 8.336 4.813 3.403
Pm 5.557 3.209 2.269
Th 0.000 0.000 0.000
Er 2.779 1.604 1.134

---

[3]
20
Lattice="-2.553 -1.314 -2.668 -3.695 -7.933 7.442 -6.270 9.655 1.244" Properties=species:S:1:pos:R:3 comment="Ce6Tc3Os PBE relaxed" formation_energy_ev_per_atom=0.003 energy_ev_per_atom=-7.790 pbc="T T T"
Ce -7.426 1.278 2.157
Ce -5.092 -0.869 3.861
Ce -6.032 -7.306 5.050
Ce -6.487 7.714 0.968
Ce -3.634 -3.529 0.896
Ce -8.884 3.938 5.122
Ce -6.376 -4.224 3.862
Ce -6.142 4.632 2.156
Ce -5.038 2.460 -0.710
Ce -7.480 -2.052 6.728
Ce -9.485 0.185 4.665
Ce -3.033 0.224 1.353
Tc -8.700 3.268 2.396
Tc -3.818 -2.859 3.622
Tc -7.851 -1.402 3.883
Tc -4.668 1.811 2.135
Tc -2.994 -1.695 -0.619
Tc -9.524 2.104 6.637
Os -6.484 5.232 -0.692
Os -6.035 -4.823 6.710

---

[4]
6
Lattice="4.229 0.000 0.000 0.000 4.229 0.000 0.000 0.000 5.532" Properties=species:S:1:pos:R:3 comment="PaAl2Co2Si PBE relaxed" formation_energy_uncorrected_ev_per_atom=-0.236 energy_ev_per_atom=-6.339 pbc="T T T"
Pa 0.000 0.000 2.766
Al 2.115 2.115 4.118
Al 2.115 2.115 1.415
Co 2.115 0.000 0.000
Co 0.000 2.115 0.000
Si 0.000 0.000 0.000

---

[5]
4
Lattice="-0.436 -1.449 -4.016 2.088 -3.537 -1.244 -2.844 -4.106 -0.503" Properties=species:S:1:pos:R:3 comment="PaTaNi2 PBE relaxed" formation_energy_ev_per_atom=-0.077 energy_ev_per_atom=-8.305 de_polymorph_mev_per_atom=66 pbc="T T T"
Ni -0.018 -2.072 -1.544
Ni -1.174 -7.020 -4.219
Pa -0.596 -4.546 -2.881
Ta 0.000 0.000 0.000

---

[6]
8
Lattice="-2.113 2.772 -1.255 -2.322 -0.040 3.820 6.870 7.162 4.251" Properties=species:S:1:pos:R:3 comment="Y4GaCu3 PBE relaxed" formation_energy_ev_per_atom=-0.328 energy_ev_per_atom=-5.475 de_polymorph_mev_per_atom=6 pbc="T T T"
Y 0.281 3.970 2.828
Y 4.667 6.056 5.517
Y 1.014 1.057 0.627
Y 3.324 5.953 2.083
Ga -1.709 1.896 1.597
Cu 2.755 4.062 4.333
Cu 2.962 3.088 1.833
Cu 5.315 8.028 3.315